# SrNiAs2

A geometry-optimized SrNiAs2 structure (PBE, Alexandria).

CIF file:
```
data_SrNiAs2
_space_group_name_H-M_alt 'I -4 m 2'
_space_group_IT_number 119
_space_group_name_Hall 'I -4 -2'
_cell_length_a 4.218
_cell_length_b 4.218
_cell_length_c 9.223
_cell_angle_alpha 90.00
_cell_angle_beta 90.00
_cell_angle_gamma 90.00
loop_
_atom_site_label
_atom_site_type_symbol
_atom_site_fract_x
_atom_site_fract_y
_atom_site_fract_z
Sr1 Sr 0.000 0.000 0.000
Ni1 Ni 0.000 0.500 0.250
As1 As 0.000 0.000 0.500
As2 As 0.000 0.500 0.750
```

## Properties
ΔE_f: -3.4 kJ/mol of atoms
V: 20.5 A^3/atom
E_tot: -16.9 eV per formula unit



# MgSc2Se3

A geometry-optimized MgSc2Se3 structure (PBE, Alexandria).

CIF file:
```
data_MgSc2Se3
_space_group_name_H-M_alt 'I m m m'
_space_group_IT_number 71
_space_group_name_Hall '-I 2 2'
_cell_length_a 3.830
_cell_length_b 5.468
_cell_length_c 11.852
_cell_angle_alpha 90.00
_cell_angle_beta 90.00
_cell_angle_gamma 90.00
loop_
_atom_site_label
_atom_site_type_symbol
_atom_site_fract_x
_atom_site_fract_y
_atom_site_fract_z
Mg1 Mg 0.000 0.000 0.000
Sc1 Sc 0.000 0.000 0.330
Se1 Se 0.000 0.500 0.000
Se2 Se 0.000 0.500 0.339
```

## Properties
V: 20.7 A^3/atom
energy relative to the elements, uncorrected: -1.431 eV per atom
E_tot: -33.3 eV per formula unit



# NiMoBr2

A geometry-optimized NiMoBr2 structure (PBE, Alexandria).

CIF file:
```
data_NiMoBr2
_space_group_name_H-M_alt 'P 1 2/m 1'
_space_group_IT_number 10
_space_group_name_Hall '-P 2y'
_cell_length_a 4.178
_cell_length_b 3.394
_cell_length_c 5.710
_cell_angle_alpha 90.00
_cell_angle_beta 93.29
_cell_angle_gamma 90.00
loop_
_atom_site_label
_atom_site_type_symbol
_atom_site_fract_x
_atom_site_fract_y
_atom_site_fract_z
Ni1 Ni 0.000 0.000 0.000
Mo1 Mo 0.000 0.000 0.500
Br1 Br 0.297 0.500 0.238
```

## Properties
excess energy over the best structure of this formula in the dataset: 0.592 eV/atom
V: 20.2 A^3/atom
energy relative to the elements, uncorrected: 0.634 eV per atom
E_tot: -17.4 eV per formula unit



# Tb5Ga2Ag2

A geometry-optimized Tb5Ga2Ag2 structure (PBE, Alexandria).

CIF file:
```
data_Tb5Ga2Ag2
_space_group_name_H-M_alt 'I m a 2'
_space_group_IT_number 46
_space_group_name_Hall 'I 2 -2a'
_cell_length_a 19.716
_cell_length_b 6.460
_cell_length_c 7.345
_cell_angle_alpha 90.00
_cell_angle_beta 90.00
_cell_angle_gamma 90.00
loop_
_atom_site_label
_atom_site_type_symbol
_atom_site_fract_x
_atom_site_fract_y
_atom_site_fract_z
Tb1 Tb 0.084 0.143 0.000
Tb2 Tb 0.154 0.647 0.881
Tb3 Tb 0.250 0.152 0.722
Ga1 Ga 0.046 0.640 0.175
Ag1 Ag 0.000 0.000 0.336
Ag2 Ag 0.250 0.577 0.573
```

## Properties
ΔE_f: -26.8 kJ/mol of atoms
V: 26.0 A^3/atom
E_tot: -37.4 eV per formula unit



# CaScTc2O8

A geometry-optimized CaScTc2O8 structure (PBE, Alexandria).

CIF file:
```
data_CaScTc2O8
_space_group_name_H-M_alt 'P -3 m 1'
_space_group_IT_number 164
_space_group_name_Hall '-P 3 2"'
_cell_length_a 5.8113
_cell_length_b 5.8113
_cell_length_c 6.5296
_cell_angle_alpha 90.00
_cell_angle_beta 90.00
_cell_angle_gamma 120.00
loop_
_atom_site_label
_atom_site_type_symbol
_atom_site_fract_x
_atom_site_fract_y
_atom_site_fract_z
Ca1 Ca 0.0000 0.0000 0.0000
Sc1 Sc 0.0000 0.0000 0.5000
Tc1 Tc 0.3333 0.6667 0.7893
O1 O 0.1585 0.3170 0.7107
O2 O 0.3333 0.6667 0.0584
```

## Properties
V: 15.9 A^3/atom
energy relative to the elements, uncorrected: -2.000 eV per atom
E_tot: -92.7 eV per formula unit



# Tb10PmTh4

A geometry-optimized Tb10PmTh4 structure (PBE, Alexandria).

CIF file:
```
data_Tb10PmTh4
_space_group_name_H-M_alt 'I 4/m'
_space_group_IT_number 87
_space_group_name_Hall '-I 4'
_cell_length_a 9.682
_cell_length_b 9.682
_cell_length_c 10.802
_cell_angle_alpha 90.00
_cell_angle_beta 90.00
_cell_angle_gamma 90.00
loop_
_atom_site_label
_atom_site_type_symbol
_atom_site_fract_x
_atom_site_fract_y
_atom_site_fract_z
Tb1 Tb 0.000 0.500 0.250
Tb2 Tb 0.117 0.788 0.157
Pm1 Pm 0.000 0.000 0.500
Th1 Th 0.064 0.662 0.500
```

## Properties
ΔE_f: 36.0 kJ/mol of atoms
V: 33.8 A^3/atom
E_tot: -75.1 eV per formula unit



# CrHgBN2

A geometry-optimized CrHgBN2 structure (PBE, Alexandria).

CIF file:
```
data_CrHgBN2
_space_group_name_H-M_alt 'P 4/m m m'
_space_group_IT_number 123
_space_group_name_Hall '-P 4 2'
_cell_length_a 3.597
_cell_length_b 3.597
_cell_length_c 5.666
_cell_angle_alpha 90.00
_cell_angle_beta 90.00
_cell_angle_gamma 90.00
loop_
_atom_site_label
_atom_site_type_symbol
_atom_site_fract_x
_atom_site_fract_y
_atom_site_fract_z
Cr1 Cr 0.000 0.000 0.000
Hg1 Hg 0.000 0.000 0.500
B1 B 0.500 0.500 0.500
N1 N 0.000 0.500 0.000
```

## Properties
V: 14.7 A^3/atom
energy relative to the elements, uncorrected: 1.228 eV per atom
E_tot: -27.1 eV per formula unit



# CaCrW2

A geometry-optimized CaCrW2 structure (PBE, Alexandria).

CIF file:
```
data_CaCrW2
_space_group_name_H-M_alt 'F -4 3 m'
_space_group_IT_number 216
_space_group_name_Hall 'F -4 2 3'
_cell_length_a 6.551
_cell_length_b 6.551
_cell_length_c 6.551
_cell_angle_alpha 90.00
_cell_angle_beta 90.00
_cell_angle_gamma 90.00
loop_
_atom_site_label
_atom_site_type_symbol
_atom_site_fract_x
_atom_site_fract_y
_atom_site_fract_z
Ca1 Ca 0.000 0.000 0.000
Cr1 Cr 0.250 0.250 0.750
W1 W 0.000 0.000 0.500
W2 W 0.250 0.250 0.250
```

## Properties
ΔE_f: 80.5 kJ/mol of atoms
excess energy over the best structure of this formula in the dataset: 0.206 eV/atom
V: 17.6 A^3/atom
E_tot: -34.2 eV per formula unit



# CaErPtAu

A geometry-optimized CaErPtAu structure (PBE, Alexandria).

CIF file:
```
data_CaErPtAu
_space_group_name_H-M_alt 'F -4 3 m'
_space_group_IT_number 216
_space_group_name_Hall 'F -4 2 3'
_cell_length_a 7.047
_cell_length_b 7.047
_cell_length_c 7.047
_cell_angle_alpha 90.00
_cell_angle_beta 90.00
_cell_angle_gamma 90.00
loop_
_atom_site_label
_atom_site_type_symbol
_atom_site_fract_x
_atom_site_fract_y
_atom_site_fract_z
Ca1 Ca 0.000 0.000 0.000
Er1 Er 0.000 0.000 0.500
Pt1 Pt 0.250 0.250 0.750
Au1 Au 0.250 0.250 0.250
```

## Properties
ΔE_f: -91.5 kJ/mol of atoms
excess energy over the best structure of this formula in the dataset: 0.030 eV/atom
V: 21.9 A^3/atom
E_tot: -19.7 eV per formula unit



# CeNd2Ho3S6

A geometry-optimized CeNd2Ho3S6 structure (PBE, Alexandria).

CIF file:
```
data_CeNd2Ho3S6
_space_group_name_H-M_alt 'C 1 2/m 1'
_space_group_IT_number 12
_space_group_name_Hall '-C 2y'
_cell_length_a 17.386
_cell_length_b 3.933
_cell_length_c 8.027
_cell_angle_alpha 90.00
_cell_angle_beta 104.43
_cell_angle_gamma 90.00
loop_
_atom_site_label
_atom_site_type_symbol
_atom_site_fract_x
_atom_site_fract_y
_atom_site_fract_z
Ce1 Ce 0.000 0.000 0.000
Nd1 Nd 0.166 0.500 0.332
Ho1 Ho 0.000 0.000 0.500
Ho2 Ho 0.167 0.500 0.835
S1 S 0.004 0.500 0.742
S2 S 0.163 0.000 0.594
S3 S 0.170 0.000 0.074
```

## Properties
V: 22.1 A^3/atom
energy relative to the elements, uncorrected: -2.011 eV per atom
E_tot: -78.1 eV per formula unit



Number 1: Fermi-level density of states 0.739 states/eV/atom. Number 2: Fermi-level density of states 0.476 states/eV/atom. Number 3: Fermi-level density of states 0.646 states/eV/atom. Number 4: Fermi-level density of states 1.147 states/eV/atom. Number 5: Fermi-level density of states 0.620 states/eV/atom. Number 6: Fermi-level density of states 1.568 states/eV/atom. Number 7: Fermi-level density of states 0.484 states/eV/atom. Number 8: Fermi-level density of states 1.205 states/eV/atom. Number 9: Fermi-level density of states 0.411 states/eV/atom. Number 10: Fermi-level density of states 0.798 states/eV/atom.